Record 1
Compound: Cd3W
Source: Alexandria
Functional: PBE
Structure: optimized geometry

Cell: 2.885 4.493 6.040 Å, 90.00 90.00 90.00°
Fractional coordinates of all 4 atoms:
Cd 0.000 0.000 0.000
Cd 0.500 0.500 0.267
Cd 0.500 0.500 0.733
W 0.000 0.000 0.500

Summary:
ΔE_f: 0.58 eV/atom
DOS at the Fermi energy: 2.94 states/eV/cell
Density: 11051 kg/m³

Record 2
Compound: PuMgZn2Au4
Source: Alexandria
Functional: PBE
Structure: optimized geometry

Cell: 8.945 8.945 8.945 Å, 29.56 29.56 29.56°
Fractional coordinates of all 8 atoms:
Pu 0.000 0.000 0.000
Mg 0.500 0.500 0.500
Zn 0.245 0.245 0.245
Zn 0.755 0.755 0.755
Au 0.128 0.128 0.128
Au 0.394 0.394 0.394
Au 0.606 0.606 0.606
Au 0.872 0.872 0.872

Summary:
ΔE_f: -0.37 eV/atom
DOS at the Fermi energy: 16.44 states/eV/cell
Density: 12780 kg/m³

Uncorrected energy across the listed records, respectively: -3.34 -4.32 eV per atom.